Record 1
First-principles (PBE) data for a relaxed HoThNiAg crystal, as listed in the Alexandria database.

a b c (Å): 7.158 7.158 7.158
angles (deg): 90.00 90.00 90.00
Positions (direct):
Ho: 0.000 0.000 0.000
Ho: 0.000 0.500 0.500
Ho: 0.500 0.000 0.500
Ho: 0.500 0.500 0.000
Th: 0.000 0.000 0.500
Th: 0.000 0.500 0.000
Th: 0.500 0.000 0.000
Th: 0.500 0.500 0.500
Ni: 0.250 0.250 0.750
Ni: 0.250 0.750 0.250
Ni: 0.750 0.250 0.250
Ni: 0.750 0.750 0.750
Ag: 0.250 0.250 0.250
Ag: 0.250 0.750 0.750
Ag: 0.750 0.250 0.750
Ag: 0.750 0.750 0.250

The calculation puts the formation energy at -187 meV/atom.

---

Record 2
First-principles (PBE) data for a relaxed Mg2TiAg2 crystal, as listed in the Alexandria database.

a b c (Å): 7.894 7.894 3.034
angles (deg): 90.00 90.00 90.00
Positions (direct):
Mg: 0.135 0.365 0.000
Mg: 0.365 0.865 0.000
Mg: 0.635 0.135 0.000
Mg: 0.865 0.635 0.000
Ti: 0.000 0.000 0.000
Ti: 0.500 0.500 0.000
Ag: 0.166 0.666 0.500
Ag: 0.334 0.166 0.500
Ag: 0.666 0.834 0.500
Ag: 0.834 0.334 0.500

For the energy above the most stable polymorph in this dataset, the calculation gives 25 meV/atom. The calculation puts the formation energy at 69 meV/atom.

---

Record 3
First-principles (PBE) data for a relaxed Ta2BSe crystal, as listed in the Alexandria database.

a b c (Å): 5.289 5.289 11.065
angles (deg): 90.00 90.00 90.00
Positions (direct):
Ta: 0.177 0.250 0.125
Ta: 0.250 0.677 0.375
Ta: 0.250 0.823 0.875
Ta: 0.323 0.250 0.625
Ta: 0.677 0.750 0.625
Ta: 0.750 0.177 0.875
Ta: 0.750 0.323 0.375
Ta: 0.823 0.750 0.125
B: 0.000 0.000 0.000
B: 0.000 0.500 0.250
B: 0.500 0.000 0.750
B: 0.500 0.500 0.500
Se: 0.000 0.000 0.500
Se: 0.000 0.500 0.750
Se: 0.500 0.000 0.250
Se: 0.500 0.500 0.000

For the energy above the most stable polymorph in this dataset, the calculation gives 86 meV/atom. The uncorrected formation energy is 1.047 eV/f.u.

---

Record 4
First-principles (PBE) data for a relaxed TaSi2IrI crystal, as listed in the Alexandria database.

a b c (Å): 4.556 4.556 5.614
angles (deg): 90.00 90.00 90.00
Positions (direct):
Ta: 0.000 0.000 0.000
Si: 0.000 0.500 0.500
Si: 0.500 0.000 0.500
Ir: 0.500 0.500 0.500
I: 0.500 0.500 0.000

The uncorrected formation energy is 5.661 eV/f.u.

---

Record 5
First-principles (PBE) data for a relaxed Nd3Se2O crystal, as listed in the Alexandria database.

a b c (Å): 8.166 8.166 5.774
angles (deg): 90.00 90.00 60.38
Positions (direct):
Nd: 0.120 0.880 0.750
Nd: 0.125 0.572 0.250
Nd: 0.428 0.875 0.250
Nd: 0.572 0.125 0.750
Nd: 0.875 0.428 0.750
Nd: 0.880 0.120 0.250
Se: 0.203 0.486 0.750
Se: 0.486 0.203 0.250
Se: 0.514 0.797 0.750
Se: 0.797 0.514 0.250
O: 0.162 0.838 0.250
O: 0.838 0.162 0.750

The uncorrected formation energy is -11.390 eV/f.u.

---

Record 6
First-principles (PBE) data for a relaxed ReAu2Se crystal, as listed in the Alexandria database.

a b c (Å): 3.919 3.935 9.500
angles (deg): 90.00 90.00 90.00
Positions (direct):
Re: 0.000 0.000 0.000
Re: 0.500 0.500 0.000
Au: 0.000 0.500 0.222
Au: 0.000 0.500 0.778
Au: 0.500 0.000 0.222
Au: 0.500 0.000 0.778
Se: 0.000 0.000 0.500
Se: 0.500 0.500 0.500

The uncorrected formation energy is 2.319 eV/f.u.

---

| no. | M_tot (μB per formula unit) |
| --- | --- |
| 1 | 0.0 |
| 2 | 2.1 |
| 3 | 0.0 |
| 4 | 3.0 |
| 5 | 0.0 |
| 6 | 0.0 |